[1]
! Cs2LiVI6 (PBE-GGA, optimized geometry); values from VASP
&SYSTEM
  ibrav = 0, nat = 10, ntyp = 4
/
ATOMIC_SPECIES
Cs 132.91 Cs.upf
I 126.90 I.upf
Li 6.94 Li.upf
V 50.94 V.upf
ATOMIC_POSITIONS crystal
Cs 0.7500 0.2500 0.5000
Cs 0.2500 0.7500 0.5000
I 0.2397 0.2397 0.5207
I 0.7603 0.7603 0.4793
I 0.2398 0.2398 0.0000
I 0.7602 0.7602 0.0000
I 0.7602 0.2398 0.0000
I 0.2398 0.7602 0.0000
Li 0.5000 0.5000 0.0000
V 0.0000 0.0000 0.0000
CELL_PARAMETERS angstrom
8.2574 0.0000 0.0000
0.0000 8.2574 0.0000
4.1287 4.1287 5.8423
! Energy relative to the elements, uncorrected ... -974 kJ/mol of formula units
! Density of states at the Fermi level ... 10.0 states/eV/cell
! Polymorph energy (0 for the lowest one) ... 25 meV per atom



[2]
! Cs2LiYI6 (PBE-GGA, optimized geometry); values from VASP
&SYSTEM
  ibrav = 0, nat = 10, ntyp = 4
/
ATOMIC_SPECIES
Cs 132.91 Cs.upf
Li 6.94 Li.upf
Y 88.91 Y.upf
I 126.90 I.upf
ATOMIC_POSITIONS crystal
Cs 0.7500 0.7500 0.7500
Cs 0.2500 0.2500 0.2500
Li 0.5000 0.5000 0.5000
Y 0.0000 0.0000 0.0000
I 0.7495 0.2505 0.2505
I 0.2505 0.2505 0.7495
I 0.2505 0.7495 0.7495
I 0.2505 0.7495 0.2505
I 0.7495 0.2505 0.7495
I 0.7495 0.7495 0.2505
CELL_PARAMETERS angstrom
8.5554 0.0000 0.0000
4.2777 7.4092 0.0000
4.2777 2.4697 6.9854
! Energy relative to the elements, uncorrected ... -1387 kJ/mol of formula units
! Density of states at the Fermi level ... 0.0 states/eV/cell
! Polymorph energy (0 for the lowest one) ... 10 meV per atom



[3]
! Cs2LiYI6 (PBE-GGA, optimized geometry); values from VASP
&SYSTEM
  ibrav = 0, nat = 20, ntyp = 4
/
ATOMIC_SPECIES
Cs 132.91 Cs.upf
Li 6.94 Li.upf
Y 88.91 Y.upf
I 126.90 I.upf
ATOMIC_POSITIONS crystal
Cs 0.8781 0.8781 0.3658
Cs 0.1219 0.1219 0.6342
Cs 0.7080 0.7080 0.8759
Cs 0.2920 0.2920 0.1241
Li 0.0000 0.0000 0.0000
Li 0.5000 0.5000 0.5000
Y 0.5848 0.5848 0.2457
Y 0.4152 0.4152 0.7543
I 0.8705 0.3784 0.3728
I 0.3784 0.8705 0.3728
I 0.3784 0.3784 0.3728
I 0.1295 0.6216 0.6272
I 0.6216 0.1295 0.6272
I 0.6216 0.6216 0.6272
I 0.7097 0.2064 0.8774
I 0.2064 0.7097 0.8774
I 0.2064 0.2064 0.8774
I 0.2903 0.7936 0.1226
I 0.7936 0.2903 0.1226
I 0.7936 0.7936 0.1226
CELL_PARAMETERS angstrom
8.5378 0.0000 0.0000
4.2689 7.3940 0.0000
4.2689 2.4647 14.2339
! Energy relative to the elements, uncorrected ... -1396 kJ/mol of formula units
! Density of states at the Fermi level ... 0.0 states/eV/cell
! Polymorph energy (0 for the lowest one) ... 0 meV per atom



[4]
! Cs2Li2YI6 (PBE-GGA, optimized geometry); values from VASP
&SYSTEM
  ibrav = 0, nat = 11, ntyp = 4
/
ATOMIC_SPECIES
Cs 132.91 Cs.upf
Li 6.94 Li.upf
Y 88.91 Y.upf
I 126.90 I.upf
ATOMIC_POSITIONS crystal
Cs 0.7010 0.4020 0.1789
Cs 0.2990 0.5980 0.8211
Li 0.9308 0.8616 0.7213
Li 0.0692 0.1384 0.2787
Y 0.5000 0.0000 0.5000
I 0.7349 0.4698 0.6319
I 0.2118 0.9155 0.2227
I 0.2963 0.0845 0.7773
I 0.7882 0.0845 0.7773
I 0.7037 0.9155 0.2227
I 0.2651 0.5302 0.3681
CELL_PARAMETERS angstrom
-5.5991 -4.7494 -4.6979
7.3213 2.6692 -3.3379
1.3991 -6.9347 5.3431
! Energy relative to the elements, uncorrected ... -1323 kJ/mol of formula units
! Density of states at the Fermi level ... 2.3 states/eV/cell